Here is a geometry-optimized ZrSF structure from Alexandria. Energies are from GGA-PBE.

Cell lengths 4.2962, 4.3012, 6.6201 Å; angles 90.00, 102.53, 90.00 degrees
Last column: nearest neighbours and their distance in Å.
Atoms (fractional coordinates):
S  0.6702  0.2500  0.2611  4 Zr 2.65, 1 F 2.74
Zr  0.7500  0.7500  0.4998  4 F 2.46, 4 S 2.65
S  0.3298  0.7500  0.7389  4 Zr 2.65, 1 F 2.74
F  0.8123  0.2500  0.6852  4 Zr 2.46, 1 S 2.74
F  0.1877  0.7500  0.3148  4 Zr 2.46, 1 S 2.74
Zr  0.2500  0.2500  0.5002  4 F 2.46, 4 S 2.65

Computed properties:
Total DFT energy (no corrections) (eV per atom): -6.93
Raw formation energy (eV/atom): -2.08
D(E_F) (states/eV/f.u.): 0.2

***

Here is a geometry-optimized TbNdOs structure from Alexandria. Energies are from GGA-PBE.

Cell lengths 4.6143, 4.6148, 7.2558 Å; angles 90.03, 90.00, 90.00 degrees
Last column: nearest neighbours and their distance in Å.
Atoms (fractional coordinates):
Tb  0.5229  0.8378  0.0234  4 Os 2.89-2.90
Os  0.5229  0.3372  0.7822  1 Nd 2.77, 4 Tb 2.89-2.90
Nd  0.0230  0.8381  0.6464  1 Os 2.77
Nd  0.5231  0.3377  0.4005  1 Os 2.77
Tb  0.0229  0.3379  0.0235  4 Os 2.90
Os  0.0227  0.8382  0.2646  1 Nd 2.77, 4 Tb 2.90

Computed properties:
Total DFT energy (no corrections) (eV per atom): -6.96
Formation energy from the elements (meV per atom): -79.6
D(E_F) (states/eV/f.u.): 2.1

***

Here is a geometry-optimized Na3V3CoS8 structure from Alexandria. Energies are from GGA-PBE.

Cell lengths 6.9126, 6.9119, 7.8343 Å; angles 116.18, 90.00, 120.00 degrees
Last column: nearest neighbours and their distance in Å.
Atoms (fractional coordinates):
S  0.7748  0.5496  0.3072  1 Co 2.32, 2 V 2.41
Co  0.0000  0.0000  0.5000  6 S 2.32
Na  0.0000  0.5000  0.0000  6 S 2.82-2.85
V  0.5000  0.5000  0.5000  6 S 2.41-2.42
S  0.7353  0.4706  0.7048  3 V 2.42-2.43
S  0.2647  0.5294  0.2952  3 V 2.42-2.43
Na  0.0000  0.0000  0.0000  6 S 2.81-2.85
S  0.7432  0.9680  0.6931  1 Co 2.32, 2 V 2.41
S  0.7752  0.0320  0.3069  1 Co 2.32, 2 V 2.41
V  0.0000  0.5000  0.5000  6 S 2.41-2.42
S  0.2252  0.4504  0.6928  1 Co 2.32, 2 V 2.41
S  0.2248  0.9680  0.6931  1 Co 2.32, 2 V 2.41
V  0.5000  0.0000  0.5000  6 S 2.41-2.43
Na  0.5000  0.5000  0.0000  6 S 2.82-2.85
S  0.2568  0.0320  0.3069  1 Co 2.32, 2 V 2.41

Computed properties:
Total DFT energy (no corrections) (eV per atom): -5.65
Raw formation energy (eV/atom): -0.89
D(E_F) (states/eV/f.u.): 9.3